Record 1
# Nd2AlHg, optimized geometry, DFT PBE-GGA
data_Nd2AlHg
_space_group_name_H-M_alt 'R -3 m'
_space_group_IT_number 166
_space_group_name_Hall '-R 3 2"'
_cell_length_a 3.8067
_cell_length_b 3.8067
_cell_length_c 28.1780
_cell_angle_alpha 90.00
_cell_angle_beta 90.00
_cell_angle_gamma 120.00
loop_
_atom_site_label
_atom_site_type_symbol
_atom_site_fract_x
_atom_site_fract_y
_atom_site_fract_z
Nd1 Nd 0.0000 0.0000 0.2465
Al1 Al 0.0000 0.0000 0.5000
Hg1 Hg 0.0000 0.0000 0.0000
# energy: -3.621 eV per atom
# volume: 29.469 Å³/atom
# D(E_F): 0.925 states/eV/atom
# energy above the lowest structure with this stoichiometry: 0.191 eV per atom
# energy relative to the elements: -226 meV/atom

=====

Record 2
# Nd8AlHg2, optimized geometry, DFT PBE-GGA
data_Nd8AlHg2
_space_group_name_H-M_alt 'C 1 2/m 1'
_space_group_IT_number 12
_cell_length_a 18.867
_cell_length_b 5.339
_cell_length_c 7.222
_cell_angle_alpha 90.00
_cell_angle_beta 108.76
_cell_angle_gamma 90.00
loop_
_space_group_symop_operation_xyz
'x,y,z'
'-x,-y,-z'
'-x,y,-z'
'x,-y,z'
'x+1/2,y+1/2,z'
'-x+1/2,-y+1/2,-z'
'-x+1/2,y+1/2,-z'
'x+1/2,-y+1/2,z'
loop_
_atom_site_label
_atom_site_type_symbol
_atom_site_fract_x
_atom_site_fract_y
_atom_site_fract_z
Nd1 Nd 0.017 0.000 0.272
Nd2 Nd 0.090 0.500 0.963
Nd3 Nd 0.166 0.500 0.480
Nd4 Nd 0.196 0.000 0.815
Al1 Al 0.000 0.500 0.500
Hg1 Hg 0.176 0.000 0.221
# energy: -4.064 eV per atom
# volume: 31.308 Å³/atom
# D(E_F): 1.030 states/eV/atom
# energy above the lowest structure with this stoichiometry: 0.000 eV per atom
# energy relative to the elements: -202 meV/atom

=====

Record 3
# Nd2Al2Hg, optimized geometry, DFT PBE-GGA
data_Nd2Al2Hg
_space_group_name_H-M_alt 'C 1 2/m 1'
_space_group_IT_number 12
_cell_length_a 11.180
_cell_length_b 4.683
_cell_length_c 11.017
_cell_angle_alpha 90.00
_cell_angle_beta 117.48
_cell_angle_gamma 90.00
loop_
_space_group_symop_operation_xyz
'x,y,z'
'-x,-y,-z'
'-x,y,-z'
'x,-y,z'
'x+1/2,y+1/2,z'
'-x+1/2,-y+1/2,-z'
'-x+1/2,y+1/2,-z'
'x+1/2,-y+1/2,z'
loop_
_atom_site_label
_atom_site_type_symbol
_atom_site_fract_x
_atom_site_fract_y
_atom_site_fract_z
Nd1 Nd 0.012 0.000 0.327
Nd2 Nd 0.181 0.000 0.093
Al1 Al 0.017 0.500 0.885
Al2 Al 0.136 0.500 0.561
Hg1 Hg 0.228 0.500 0.345
# energy: -3.894 eV per atom
# volume: 25.584 Å³/atom
# D(E_F): 0.727 states/eV/atom
# energy relative to the elements: -430 meV/atom

=====

Record 4
# NdAl2Hg, optimized geometry, DFT PBE-GGA
data_NdAl2Hg
_space_group_name_H-M_alt 'R -3 m'
_space_group_IT_number 166
_space_group_name_Hall '-R 3 2"'
_cell_length_a 4.4607
_cell_length_b 4.4607
_cell_length_c 16.2092
_cell_angle_alpha 90.00
_cell_angle_beta 90.00
_cell_angle_gamma 120.00
loop_
_atom_site_label
_atom_site_type_symbol
_atom_site_fract_x
_atom_site_fract_y
_atom_site_fract_z
Nd1 Nd 0.0000 0.0000 0.0000
Al1 Al 0.0000 0.0000 0.2181
Hg1 Hg 0.0000 0.0000 0.5000
# energy: -3.399 eV per atom
# volume: 23.277 Å³/atom
# D(E_F): 0.497 states/eV/atom
# energy above the lowest structure with this stoichiometry: 0.050 eV per atom
# energy relative to the elements: -261 meV/atom

=====

Record 5
# Nd2AlHg2, optimized geometry, DFT PBE-GGA
data_Nd2AlHg2
_space_group_name_H-M_alt 'C 1 2/m 1'
_space_group_IT_number 12
_cell_length_a 11.407
_cell_length_b 4.606
_cell_length_c 11.371
_cell_angle_alpha 90.00
_cell_angle_beta 117.58
_cell_angle_gamma 90.00
loop_
_space_group_symop_operation_xyz
'x,y,z'
'-x,-y,-z'
'-x,y,-z'
'x,-y,z'
'x+1/2,y+1/2,z'
'-x+1/2,-y+1/2,-z'
'-x+1/2,y+1/2,-z'
'x+1/2,-y+1/2,z'
loop_
_atom_site_label
_atom_site_type_symbol
_atom_site_fract_x
_atom_site_fract_y
_atom_site_fract_z
Nd1 Nd 0.008 0.000 0.337
Nd2 Nd 0.187 0.000 0.105
Al1 Al 0.217 0.500 0.337
Hg1 Hg 0.029 0.500 0.881
Hg2 Hg 0.151 0.500 0.560
# energy: -3.208 eV per atom
# volume: 26.478 Å³/atom
# D(E_F): 0.863 states/eV/atom
# energy relative to the elements: -431 meV/atom

=====

Record 6
# Nd4AlHg3, optimized geometry, DFT PBE-GGA
data_Nd4AlHg3
_space_group_name_H-M_alt 'P 4/m m m'
_space_group_IT_number 123
_space_group_name_Hall '-P 4 2'
_cell_length_a 3.783
_cell_length_b 3.783
_cell_length_c 15.477
_cell_angle_alpha 90.00
_cell_angle_beta 90.00
_cell_angle_gamma 90.00
loop_
_atom_site_label
_atom_site_type_symbol
_atom_site_fract_x
_atom_site_fract_y
_atom_site_fract_z
Nd1 Nd 0.000 0.000 0.118
Nd2 Nd 0.000 0.000 0.373
Al1 Al 0.500 0.500 0.000
Hg1 Hg 0.500 0.500 0.245
Hg2 Hg 0.500 0.500 0.500
# energy: -3.402 eV per atom
# volume: 27.687 Å³/atom
# D(E_F): 1.016 states/eV/atom
# energy relative to the elements: -438 meV/atom